VASP calculation (PBE) on a relaxed NaAc2GeO5 crystal.

Values from the calculation:
Formation energy (no corrections): -2.269 eV per atom
D(E_F): 4.34 states/eV/cell

```
data_NaAc2GeO5
_cell_length_a 7.210
_cell_length_b 7.210
_cell_length_c 5.940
_cell_angle_alpha 90.00
_cell_angle_beta 90.00
_cell_angle_gamma 90.00
_space_group_name_H-M_alt 'P 4/m b m'
_space_group_IT_number 127
_space_group_name_Hall '-P 4 2ab'
loop_
_atom_site_label
_atom_site_type_symbol
_atom_site_fract_x
_atom_site_fract_y
_atom_site_fract_z
_atom_site_occupancy
Na1 Na 0.000 0.000 0.000 1
Ac1 Ac 0.182 0.318 0.500 1
Ge1 Ge 0.000 0.500 0.000 1
O1 O 0.000 0.000 0.500 1
O2 O 0.130 0.630 0.237 1
```



VASP calculation (PBE) on a relaxed BaNaPrTe3 crystal.

Values from the calculation:
Formation energy (no corrections): -1.387 eV per atom

```
data_BaNaPrTe3
_cell_length_a 9.578
_cell_length_b 4.732
_cell_length_c 10.338
_cell_angle_alpha 90.00
_cell_angle_beta 105.08
_cell_angle_gamma 90.00
_space_group_name_H-M_alt 'P 1 21/m 1'
_space_group_IT_number 11
loop_
_space_group_symop_operation_xyz
'x,y,z'
'-x,-y,-z'
'-x,y+1/2,-z'
'x,-y+1/2,z'
loop_
_atom_site_label
_atom_site_type_symbol
_atom_site_fract_x
_atom_site_fract_y
_atom_site_fract_z
_atom_site_occupancy
Ba1 Ba 0.203 0.250 0.240 1
Na1 Na 0.089 0.250 0.586 1
Pr1 Pr 0.325 0.750 0.841 1
Te1 Te 0.104 0.250 0.877 1
Te2 Te 0.249 0.750 0.515 1
Te3 Te 0.447 0.750 0.162 1
```



VASP calculation (PBE) on a relaxed Sr2BiRu crystal.

Values from the calculation:
E_form: -0.0006 eV/atom
D(E_F): 11.00 states/eV/cell

```
data_Sr2BiRu
_cell_length_a 11.121
_cell_length_b 11.121
_cell_length_c 5.213
_cell_angle_alpha 90.00
_cell_angle_beta 90.00
_cell_angle_gamma 90.00
_space_group_name_H-M_alt 'I -4 2 d'
_space_group_IT_number 122
_space_group_name_Hall 'I -4 2bw'
loop_
_atom_site_label
_atom_site_type_symbol
_atom_site_fract_x
_atom_site_fract_y
_atom_site_fract_z
_atom_site_occupancy
Sr1 Sr 0.080 0.250 0.125 1
Bi1 Bi 0.000 0.000 0.500 1
Ru1 Ru 0.000 0.000 0.000 1
```



VASP calculation (PBE) on a relaxed Cd2CuOs crystal.

Values from the calculation:
E_form: 0.5312 eV/atom
E above lowest polymorph: 0.136 eV per atom
D(E_F): 4.09 states/eV/cell

```
data_Cd2CuOs
_cell_length_a 3.031
_cell_length_b 4.671
_cell_length_c 9.289
_cell_angle_alpha 90.00
_cell_angle_beta 90.00
_cell_angle_gamma 90.00
_space_group_name_H-M_alt 'I m m m'
_space_group_IT_number 71
_space_group_name_Hall '-I 2 2'
loop_
_atom_site_label
_atom_site_type_symbol
_atom_site_fract_x
_atom_site_fract_y
_atom_site_fract_z
_atom_site_occupancy
Cd1 Cd 0.000 0.000 0.235 1
Cu1 Cu 0.000 0.500 0.500 1
Os1 Os 0.000 0.500 0.000 1
```



VASP calculation (PBE) on a relaxed Sr2MgInS5 crystal.

Values from the calculation:
Formation energy (no corrections): -1.307 eV per atom
D(E_F): 11.59 states/eV/cell

```
data_Sr2MgInS5
_cell_length_a 4.148
_cell_length_b 17.300
_cell_length_c 12.376
_cell_angle_alpha 90.00
_cell_angle_beta 90.00
_cell_angle_gamma 90.00
_space_group_name_H-M_alt 'C m c 21'
_space_group_IT_number 36
loop_
_space_group_symop_operation_xyz
'x,y,z'
'-x,-y,z+1/2'
'-x,y,z'
'x,-y,z+1/2'
'x+1/2,y+1/2,z'
'-x+1/2,-y+1/2,z+1/2'
'-x+1/2,y+1/2,z'
'x+1/2,-y+1/2,z+1/2'
loop_
_atom_site_label
_atom_site_type_symbol
_atom_site_fract_x
_atom_site_fract_y
_atom_site_fract_z
_atom_site_occupancy
Sr1 Sr 0.000 0.100 0.000 1
Sr2 Sr 0.000 0.129 0.652 1
Mg1 Mg 0.000 0.232 0.375 1
In1 In 0.000 0.444 0.799 1
S1 S 0.000 0.065 0.410 1
S2 S 0.000 0.274 0.008 1
S3 S 0.000 0.296 0.759 1
S4 S 0.000 0.375 0.334 1
S5 S 0.000 0.494 0.616 1
```



VASP calculation (PBE) on a relaxed CsYZr crystal.

Values from the calculation:
E_form: 0.7656 eV/atom
E above lowest polymorph: 0.444 eV per atom
D(E_F): 13.21 states/eV/cell

```
data_CsYZr
_cell_length_a 14.815
_cell_length_b 6.341
_cell_length_c 5.524
_cell_angle_alpha 90.00
_cell_angle_beta 90.00
_cell_angle_gamma 90.00
_space_group_name_H-M_alt 'P n m a'
_space_group_IT_number 62
loop_
_space_group_symop_operation_xyz
'x,y,z'
'-x,-y,-z'
'-x+1/2,-y,z+1/2'
'x+1/2,y,-z+1/2'
'x+1/2,-y+1/2,-z+1/2'
'-x+1/2,y+1/2,z+1/2'
'-x,y+1/2,-z'
'x,-y+1/2,z'
loop_
_atom_site_label
_atom_site_type_symbol
_atom_site_fract_x
_atom_site_fract_y
_atom_site_fract_z
_atom_site_occupancy
Cs1 Cs 0.240 0.250 0.013 1
Y1 Y 0.000 0.000 0.500 1
Zr1 Zr 0.008 0.750 0.000 1
```



VASP calculation (PBE) on a relaxed Al3Sn12Au5 crystal.

Values from the calculation:
E_form: 0.0389 eV/atom
D(E_F): 85.19 states/eV/cell

```
data_Al3Sn12Au5
_cell_length_a 16.416
_cell_length_b 16.416
_cell_length_c 16.416
_cell_angle_alpha 90.00
_cell_angle_beta 90.00
_cell_angle_gamma 90.00
_space_group_name_H-M_alt 'I a -3 d'
_space_group_IT_number 230
_space_group_name_Hall '-I 4bd 2c 3'
loop_
_atom_site_label
_atom_site_type_symbol
_atom_site_fract_x
_atom_site_fract_y
_atom_site_fract_z
_atom_site_occupancy
Al1 Al 0.000 0.250 0.125 1
Sn1 Sn 0.024 0.080 0.649 1
Au1 Au 0.000 0.000 0.000 1
Au2 Au 0.000 0.250 0.375 1
```



VASP calculation (PBE) on a relaxed ZnSbSe crystal.

Values from the calculation:
Formation energy (no corrections): 0.266 eV per atom
D(E_F): 10.03 states/eV/cell

```
data_ZnSbSe
_cell_length_a 6.865
_cell_length_b 6.865
_cell_length_c 6.865
_cell_angle_alpha 90.00
_cell_angle_beta 90.00
_cell_angle_gamma 90.00
_space_group_name_H-M_alt 'F -4 3 m'
_space_group_IT_number 216
_space_group_name_Hall 'F -4 2 3'
loop_
_atom_site_label
_atom_site_type_symbol
_atom_site_fract_x
_atom_site_fract_y
_atom_site_fract_z
_atom_site_occupancy
Zn1 Zn 0.000 0.000 0.000 1
Sb1 Sb 0.250 0.250 0.250 1
Se1 Se 0.000 0.000 0.500 1
```



VASP calculation (PBE) on a relaxed Cd2OsRu crystal.

Values from the calculation:
E_form: 0.5191 eV/atom
E above lowest polymorph: 0.347 eV per atom
D(E_F): 7.32 states/eV/cell

```
data_Cd2OsRu
_cell_length_a 2.840
_cell_length_b 4.849
_cell_length_c 10.386
_cell_angle_alpha 90.00
_cell_angle_beta 90.00
_cell_angle_gamma 90.00
_space_group_name_H-M_alt 'I m m 2'
_space_group_IT_number 44
loop_
_space_group_symop_operation_xyz
'x,y,z'
'-x,-y,z'
'-x,y,z'
'x,-y,z'
'x+1/2,y+1/2,z+1/2'
'-x+1/2,-y+1/2,z+1/2'
'-x+1/2,y+1/2,z+1/2'
'x+1/2,-y+1/2,z+1/2'
loop_
_atom_site_label
_atom_site_type_symbol
_atom_site_fract_x
_atom_site_fract_y
_atom_site_fract_z
_atom_site_occupancy
Cd1 Cd 0.000 0.000 0.000 1
Cd2 Cd 0.000 0.500 0.207 1
Os1 Os 0.000 0.500 0.756 1
Ru1 Ru 0.000 0.000 0.453 1
```



VASP calculation (PBE) on a relaxed CaScSCl2 crystal.

Values from the calculation:
E above lowest polymorph: 0.497 eV per atom
Formation energy (no corrections): -1.123 eV per atom
D(E_F): 7.35 states/eV/cell

```
data_CaScSCl2
_cell_length_a 5.041
_cell_length_b 5.041
_cell_length_c 5.486
_cell_angle_alpha 90.00
_cell_angle_beta 90.00
_cell_angle_gamma 90.00
_space_group_name_H-M_alt 'P 4/m m m'
_space_group_IT_number 123
_space_group_name_Hall '-P 4 2'
loop_
_atom_site_label
_atom_site_type_symbol
_atom_site_fract_x
_atom_site_fract_y
_atom_site_fract_z
_atom_site_occupancy
Ca1 Ca 0.000 0.000 0.000 1
Sc1 Sc 0.500 0.500 0.500 1
S1 S 0.000 0.000 0.500 1
Cl1 Cl 0.000 0.500 0.000 1
```



VASP calculation (PBE) on a relaxed PmEr2S4 crystal.

Values from the calculation:
E above lowest polymorph: 0.018 eV per atom
Formation energy (no corrections): -2.049 eV per atom
D(E_F): 8.08 states/eV/cell

```
data_PmEr2S4
_cell_length_a 11.906
_cell_length_b 3.848
_cell_length_c 14.014
_cell_angle_alpha 90.00
_cell_angle_beta 90.00
_cell_angle_gamma 90.00
_space_group_name_H-M_alt 'P n m a'
_space_group_IT_number 62
loop_
_space_group_symop_operation_xyz
'x,y,z'
'-x,-y,-z'
'-x+1/2,-y,z+1/2'
'x+1/2,y,-z+1/2'
'x+1/2,-y+1/2,-z+1/2'
'-x+1/2,y+1/2,z+1/2'
'-x,y+1/2,-z'
'x,-y+1/2,z'
loop_
_atom_site_label
_atom_site_type_symbol
_atom_site_fract_x
_atom_site_fract_y
_atom_site_fract_z
_atom_site_occupancy
Pm1 Pm 0.248 0.250 0.169 1
Er1 Er 0.061 0.250 0.388 1
Er2 Er 0.094 0.250 0.906 1
S1 S 0.041 0.750 0.783 1
S2 S 0.097 0.250 0.577 1
S3 S 0.129 0.750 0.041 1
S4 S 0.200 0.750 0.318 1
```



VASP calculation (PBE) on a relaxed Ba4ZrRu crystal.

Values from the calculation:
E_form: 1.3488 eV/atom
D(E_F): 66.88 states/eV/cell

```
data_Ba4ZrRu
_cell_length_a 9.830
_cell_length_b 9.830
_cell_length_c 9.830
_cell_angle_alpha 90.00
_cell_angle_beta 90.00
_cell_angle_gamma 90.00
_space_group_name_H-M_alt 'F -4 3 m'
_space_group_IT_number 216
_space_group_name_Hall 'F -4 2 3'
loop_
_atom_site_label
_atom_site_type_symbol
_atom_site_fract_x
_atom_site_fract_y
_atom_site_fract_z
_atom_site_occupancy
Ba1 Ba 0.124 0.124 0.124 1
Zr1 Zr 0.000 0.000 0.500 1
Ru1 Ru 0.250 0.250 0.750 1
```



no.,E_tot (eV/f.u.)
1,-59.4
2,-25.8
3,-16.5
4,-15.0
5,-40.1
6,-13.6
7,-74.9
8,-8.1
9,-20.3
10,-21.8
11,-44.7
12,-17.4